# 1
# Tm5Cd2Fe2 | Alexandria via LeMat-Bulk | PBE | optimized geometry
data_Tm5Cd2Fe2
_chemical_formula_sum 'Tm20 Cd8 Fe8'
_space_group_name_H-M_alt 'C m c e'
_space_group_IT_number 64
_space_group_name_Hall '-C 2ac 2'
_cell_length_a 16.8378
_cell_length_b 7.0447
_cell_length_c 7.1385
_cell_angle_alpha 90.00
_cell_angle_beta 90.00
_cell_angle_gamma 90.00
loop_
_atom_site_label
_atom_site_fract_x
_atom_site_fract_y
_atom_site_fract_z
_atom_site_occupancy
Tm1 0.0000 0.0000 0.0000 1
Tm2 0.1181 0.1841 0.3162 1
Cd1 0.2282 0.0000 0.0000 1
Fe1 0.0000 0.1055 0.6089 1
# DOS(E_F) = 9.56 states/eV/f.u.
# Total energy = -4.713 eV/atom
# Spin magnetization = 0.9 μB/f.u.


# 2
# Y2In2Ag | Alexandria via LeMat-Bulk | PBE | optimized geometry
data_Y2In2Ag
_chemical_formula_sum 'Y8 In8 Ag4'
_space_group_name_H-M_alt 'C 1 2/m 1'
_space_group_IT_number 12
_space_group_name_Hall '-C 2y'
_cell_length_a 11.2053
_cell_length_b 4.6978
_cell_length_c 10.9346
_cell_angle_alpha 90.00
_cell_angle_beta 115.98
_cell_angle_gamma 90.00
loop_
_atom_site_label
_atom_site_fract_x
_atom_site_fract_y
_atom_site_fract_z
_atom_site_occupancy
Y1 0.0159 0.0000 0.3337 1
Y2 0.1759 0.0000 0.1012 1
In1 0.0346 0.5000 0.8832 1
In2 0.1431 0.5000 0.5711 1
Ag1 0.2197 0.5000 0.3385 1
# DOS(E_F) = 3.09 states/eV/f.u.
# Total energy = -4.678 eV/atom
# Spin magnetization = 0.0 μB/f.u.
# ΔE to the lowest computed polymorph = 0.002 eV/atom


# 3
# LiPm3Ge4 | Alexandria via LeMat-Bulk | PBE | optimized geometry
data_LiPm3Ge4
_chemical_formula_sum 'Li2 Pm6 Ge8'
_space_group_name_H-M_alt 'I m m m'
_space_group_IT_number 71
_space_group_name_Hall '-I 2 2'
_cell_length_a 4.2808
_cell_length_b 6.1176
_cell_length_c 15.5461
_cell_angle_alpha 90.00
_cell_angle_beta 90.00
_cell_angle_gamma 90.00
loop_
_atom_site_label
_atom_site_fract_x
_atom_site_fract_y
_atom_site_fract_z
_atom_site_occupancy
Li1 0.0000 0.0000 0.0000 1
Pm1 0.0000 0.0000 0.5000 1
Pm2 0.0000 0.5000 0.3067 1
Ge1 0.0000 0.2976 0.1240 1
# DOS(E_F) = 4.60 states/eV/f.u.
# Total energy = -4.942 eV/atom
# Spin magnetization = 0.0 μB/f.u.


# 4
# PrNd2Ge3Pt4 | Alexandria via LeMat-Bulk | PBE | optimized geometry
data_PrNd2Ge3Pt4
_chemical_formula_sum 'Pr1 Nd2 Ge3 Pt4'
_space_group_name_H-M_alt 'P -4 m 2'
_space_group_IT_number 115
_space_group_name_Hall 'P -4 -2'
_cell_length_a 4.3713
_cell_length_b 4.3713
_cell_length_c 11.2833
_cell_angle_alpha 90.00
_cell_angle_beta 90.00
_cell_angle_gamma 90.00
loop_
_atom_site_label
_atom_site_fract_x
_atom_site_fract_y
_atom_site_fract_z
_atom_site_occupancy
Pr1 0.0000 0.0000 0.0000 1
Nd1 0.0000 0.5000 0.7167 1
Ge1 0.0000 0.5000 0.3822 1
Ge2 0.5000 0.5000 0.0000 1
Pt1 0.0000 0.0000 0.5000 1
Pt2 0.0000 0.5000 0.1653 1
Pt3 0.5000 0.5000 0.5000 1
# DOS(E_F) = 7.33 states/eV/f.u.
# Total energy = -6.134 eV/atom
# Spin magnetization = 0.0 μB/f.u.